1.
VASP calculation (PBE-GGA) on crystalline IrRuCl at its relaxed geometry.

Values from the calculation:
Offset from the most stable computed form in eV per atom: 0.1414
ΔE_f (raw) in meV per atom: 618
Crystal system: orthorhombic
M_tot in μB/cell: 0.03
Space-group type: Fmm2

Cell and atoms, written as extended XYZ:
```
3
Lattice="-6.139 -2.922 2.214 -4.066 -4.912 2.451 -0.949 1.520 2.258" Properties=species:S:1:pos:R:3 pbc="T T T"
Cl -1.051 1.418 2.284
Ir -3.959 -1.522 3.040
Ru -7.093 -4.690 3.855
```

***

2.
VASP calculation (PBE-GGA) on crystalline Ir2RuCl at its relaxed geometry.

Values from the calculation:
Offset from the most stable computed form in eV per atom: 0.2029
ΔE_f (raw) in meV per atom: 634
Crystal system: orthorhombic
M_tot in μB/cell: 0.00
Space-group type: Pmm2

Cell and atoms, written as extended XYZ:
```
4
Lattice="2.815 0.000 0.000 0.000 3.559 0.000 0.000 0.000 6.675" Properties=species:S:1:pos:R:3 pbc="T T T"
Cl 1.407 1.780 4.871
Ir 0.000 0.000 0.385
Ir 1.407 1.780 1.717
Ru 0.000 0.000 3.039
```

***

3.
VASP calculation (PBE-GGA) on crystalline Ir2RuCl at its relaxed geometry.

Values from the calculation:
Offset from the most stable computed form in eV per atom: 0.6693
ΔE_f (raw) in meV per atom: 1100
Crystal system: tetragonal
M_tot in μB/cell: 0.00
Space-group type: I-42d

Cell and atoms, written as extended XYZ:
```
8
Lattice="-0.766 -3.899 4.715 5.141 2.167 2.627 -0.083 2.047 5.711" Properties=species:S:1:pos:R:3 pbc="T T T"
Ru 0.000 0.000 0.000
Ru 0.669 -1.359 7.049
Ir 0.132 -1.709 4.769
Ir 3.107 1.433 3.594
Ir 1.506 0.855 7.000
Ir 3.837 0.049 10.745
Cl 2.187 -0.866 3.671
Cl 3.622 1.674 6.005
```

***

The highest offset from the most stable computed form belongs to which entry?
number 3